VASP calculation (PBE) on a relaxed Ti3Pd2Au2 crystal.

a b c (Å): 4.9783 9.9525 5.0593
angles (deg): 90.00 74.81 90.00
Last column: nearest neighbours and their distance in Å.
Sites, in units of the cell vectors:
Ti (0.5000, 0.5000, 0.0000)  2 Pd 2.54, 2 Au 2.70, 2 Ti 2.79
Ti (0.0000, 0.0000, 0.0000)  2 Pd 2.54, 2 Au 2.70, 2 Ti 2.79
Ti (0.6686, 0.0451, 0.6426)  4 Pd 2.64-2.95, 2 Ti 2.64-2.79, 2 Au 2.70-2.77
Ti (0.8314, 0.5451, 0.3574)  4 Pd 2.64-2.95, 2 Ti 2.64-2.79, 2 Au 2.70-2.77
Ti (0.1686, 0.4549, 0.6426)  4 Pd 2.64-2.95, 2 Ti 2.64-2.79, 2 Au 2.70-2.77
Ti (0.3314, 0.9549, 0.3574)  4 Pd 2.64-2.95, 2 Ti 2.64-2.79, 2 Au 2.70-2.77
Pd (0.6419, 0.3232, 0.6273)  4 Ti 2.54-2.77
Pd (0.8581, 0.8232, 0.3727)  4 Ti 2.54-2.77
Pd (0.1419, 0.1768, 0.6273)  4 Ti 2.54-2.77
Pd (0.3581, 0.6768, 0.3727)  4 Ti 2.54-2.77
Au (0.9143, 0.6827, 0.8673)  3 Ti 2.70-2.77, 2 Au 2.83, 3 Pd 2.86-2.94
Au (0.4143, 0.8173, 0.8673)  3 Ti 2.70-2.77, 2 Au 2.83, 3 Pd 2.86-2.94
Au (0.5857, 0.1827, 0.1327)  3 Ti 2.70-2.77, 2 Au 2.83, 3 Pd 2.86-2.94
Au (0.0857, 0.3173, 0.1327)  3 Ti 2.70-2.77, 2 Au 2.83, 3 Pd 2.86-2.94

Output
Energy relative to the elements = -0.26 eV/atom